[1]
# KRb2Ru PBE-GGA relaxed
# Formation enthalpy at 0 K ... 1.2959 eV/atom
# E above lowest polymorph ... 201 meV per atom
# Spin magnetization ... 2.2 μB per cell
# Calculated total energy ... -0.131 Ry/atom
# Space-group type ... I-42d
data_KRb2Ru
_chemical_formula_sum 'K2 Rb4 Ru2'
_cell_length_a 9.220
_cell_length_b 9.220
_cell_length_c 9.220
_cell_angle_alpha 120.60
_cell_angle_beta 120.60
_cell_angle_gamma 88.96
_space_group_name_H-M_alt 'P 1'
_space_group_IT_number 1
_space_group_name_Hall 'P 1'
loop_
_atom_site_label
_atom_site_fract_x
_atom_site_fract_y
_atom_site_fract_z
_atom_site_occupancy
K1 0.000 0.000 0.000 1
K2 0.750 0.250 0.500 1
Rb1 0.372 0.625 0.247 1
Rb2 0.375 0.622 0.747 1
Rb3 0.378 0.125 0.753 1
Rb4 0.875 0.628 0.253 1
Ru1 0.250 0.750 0.500 1
Ru2 0.500 0.500 0.000 1

[2]
# PrGd PBE-GGA relaxed
# Formation enthalpy at 0 K ... 0.0893 eV/atom
# E above lowest polymorph ... 70 meV per atom
# Spin magnetization ... 8.0 μB per cell
# Calculated total energy ... -0.687 Ry/atom
# Space-group type ... Pm-3m
data_PrGd
_chemical_formula_sum 'Pr1 Gd1'
_cell_length_a 4.100
_cell_length_b 4.100
_cell_length_c 4.100
_cell_angle_alpha 90.00
_cell_angle_beta 90.00
_cell_angle_gamma 90.00
_space_group_name_H-M_alt 'P 1'
_space_group_IT_number 1
_space_group_name_Hall 'P 1'
loop_
_atom_site_label
_atom_site_fract_x
_atom_site_fract_y
_atom_site_fract_z
_atom_site_occupancy
Pr1 0.000 0.000 0.000 1
Gd1 0.500 0.500 0.500 1

What did the first record say?
# KRb2Ru PBE-GGA relaxed
# Formation enthalpy at 0 K ... 1.2959 eV/atom
# E above lowest polymorph ... 201 meV per atom
# Spin magnetization ... 2.2 μB per cell
# Calculated total energy ... -0.131 Ry/atom
# Space-group type ... I-42d
data_KRb2Ru
_chemical_formula_sum 'K2 Rb4 Ru2'
_cell_length_a 9.220
_cell_length_b 9.220
_cell_length_c 9.220
_cell_angle_alpha 120.60
_cell_angle_beta 120.60
_cell_angle_gamma 88.96
_space_group_name_H-M_alt 'P 1'
_space_group_IT_number 1
_space_group_name_Hall 'P 1'
loop_
_atom_site_label
_atom_site_fract_x
_atom_site_fract_y
_atom_site_fract_z
_atom_site_occupancy
K1 0.000 0.000 0.000 1
K2 0.750 0.250 0.500 1
Rb1 0.372 0.625 0.247 1
Rb2 0.375 0.622 0.747 1
Rb3 0.378 0.125 0.753 1
Rb4 0.875 0.628 0.253 1
Ru1 0.250 0.750 0.500 1
Ru2 0.500 0.500 0.000 1